VASP calculation (PBE-GGA) on an optimized crystal structure of SmDyTe6.

Unit cell a=4.3575 b=13.6383 c=13.6383 alpha=18.38 beta=90.00 gamma=90.00
Positions (direct):
Sm1 0.0000 0.0000 0.0000
Dy1 0.5000 0.6553 0.6553
Te1 0.0000 0.1211 0.1211
Te2 0.0000 0.4052 0.4052
Te3 0.0000 0.7484 0.7484
Te4 0.5000 0.2484 0.2484
Te5 0.5000 0.5362 0.5362
Te6 0.5000 0.9053 0.9053

**Crystal system**: orthorhombic
**Formation energy without anion corrections**: -940 meV/atom
**V**: 31.94 Å³/atom



VASP calculation (PBE-GGA) on an optimized crystal structure of Sm3Dy4Te8.

Unit cell a=8.7611 b=8.7611 c=8.7586 alpha=119.96 beta=119.96 gamma=90.02
Positions (direct):
Sm1 0.0000 0.0000 0.0000
Sm2 0.0000 0.5000 0.0000
Sm3 0.5000 0.0000 0.0000
Dy1 0.0000 0.5000 0.5000
Dy2 0.5000 0.0000 0.5000
Dy3 0.5000 0.5000 0.0000
Dy4 0.5000 0.5000 0.5000
Te1 0.2463 0.7537 0.5000
Te2 0.2485 0.2485 0.5048
Te3 0.2488 0.2488 0.9928
Te4 0.2524 0.7476 0.0000
Te5 0.7476 0.2524 0.0000
Te6 0.7512 0.7512 0.0072
Te7 0.7515 0.7515 0.4952
Te8 0.7537 0.2463 0.5000

**Crystal system**: monoclinic
**Formation energy without anion corrections**: -1391 meV/atom
**V**: 31.72 Å³/atom



VASP calculation (PBE-GGA) on an optimized crystal structure of SmDyTe.

Unit cell a=5.1845 b=5.1845 c=4.0595 alpha=90.00 beta=90.00 gamma=120.00
Positions (direct):
Sm1 0.0000 0.0000 0.0000
Dy1 0.3333 0.6667 0.5121
Te1 0.6667 0.3333 0.7087

**Crystal system**: trigonal
**Formation energy without anion corrections**: -493 meV/atom
**V**: 31.50 Å³/atom
**Energy above the lowest structure with this stoichiometry**: 7.08 kcal/mol of atoms



VASP calculation (PBE-GGA) on an optimized crystal structure of Sm2Dy3ThTe6.

Unit cell a=9.9252 b=9.9252 c=8.9007 alpha=104.73 beta=104.73 gamma=25.37
Positions (direct):
Sm1 0.1612 0.1612 0.3222
Sm2 0.8388 0.8388 0.6778
Dy1 0.1652 0.1652 0.8316
Dy2 0.5000 0.5000 0.5000
Dy3 0.8348 0.8348 0.1684
Th1 0.5000 0.5000 0.0000
Te1 0.0035 0.0035 0.7419
Te2 0.3294 0.3294 0.9238
Te3 0.3325 0.3325 0.4153
Te4 0.6675 0.6675 0.5847
Te5 0.6706 0.6706 0.0762
Te6 0.9965 0.9965 0.2581

**Crystal system**: monoclinic
**Formation energy without anion corrections**: -1263 meV/atom
**V**: 30.22 Å³/atom



VASP calculation (PBE-GGA) on an optimized crystal structure of Sm2DyTh3Te6.

Unit cell a=10.1932 b=10.1932 c=9.1382 alpha=109.14 beta=109.14 gamma=24.47
Positions (direct):
Sm1 0.1671 0.1671 0.3337
Sm2 0.8329 0.8329 0.6663
Dy1 0.5000 0.5000 0.0000
Th1 0.1686 0.1686 0.8348
Th2 0.5000 0.5000 0.5000
Th3 0.8314 0.8314 0.1652
Te1 0.0006 0.0006 0.2410
Te2 0.3319 0.3319 0.4206
Te3 0.3375 0.3375 0.9147
Te4 0.6625 0.6625 0.0853
Te5 0.6681 0.6681 0.5794
Te6 0.9994 0.9994 0.7590

**Crystal system**: monoclinic
**Formation energy without anion corrections**: -1168 meV/atom
**V**: 30.88 Å³/atom



VASP calculation (PBE-GGA) on an optimized crystal structure of Sm3DyTl3Te8.

Unit cell a=8.9275 b=8.9275 c=9.6609 alpha=117.57 beta=117.57 gamma=59.94
Positions (direct):
Sm1 0.0000 0.0000 0.0000
Sm2 0.0000 0.5000 0.0000
Sm3 0.5000 0.0000 0.0000
Dy1 0.5000 0.5000 0.0000
Tl1 0.0000 0.5000 0.5000
Tl2 0.5000 0.0000 0.5000
Tl3 0.5000 0.5000 0.5000
Te1 0.2404 0.2404 0.2211
Te2 0.2427 0.7374 0.2174
Te3 0.2626 0.2626 0.7826
Te4 0.2626 0.7573 0.7826
Te5 0.7374 0.2427 0.2174
Te6 0.7374 0.7374 0.2174
Te7 0.7573 0.2626 0.7826
Te8 0.7596 0.7596 0.7789

**Crystal system**: monoclinic
**Formation energy without anion corrections**: -1061 meV/atom
**V**: 37.55 Å³/atom



VASP calculation (PBE-GGA) on an optimized crystal structure of Sm2DyTl3Te6.

Unit cell a=7.7945 b=7.7945 c=8.5870 alpha=98.71 beta=98.71 gamma=119.99
Positions (direct):
Sm1 0.1664 0.8336 0.0000
Sm2 0.8336 0.1664 0.0000
Dy1 0.5000 0.5000 0.0000
Tl1 0.0000 0.0000 0.5000
Tl2 0.3317 0.6683 0.5000
Tl3 0.6683 0.3317 0.5000
Te1 0.0995 0.4281 0.7842
Te2 0.2441 0.2441 0.2172
Te3 0.4281 0.0995 0.7842
Te4 0.5719 0.9005 0.2158
Te5 0.7559 0.7559 0.7828
Te6 0.9005 0.5719 0.2158

**Crystal system**: monoclinic
**Formation energy without anion corrections**: -1064 meV/atom
**V**: 35.89 Å³/atom



VASP calculation (PBE-GGA) on an optimized crystal structure of SmDy3Tl3Te8.

Unit cell a=8.8277 b=8.8277 c=9.6292 alpha=117.35 beta=117.35 gamma=59.92
Positions (direct):
Sm1 0.0000 0.0000 0.0000
Dy1 0.0000 0.5000 0.0000
Dy2 0.5000 0.0000 0.0000
Dy3 0.5000 0.5000 0.0000
Tl1 0.0000 0.0000 0.5000
Tl2 0.0000 0.5000 0.5000
Tl3 0.5000 0.0000 0.5000
Te1 0.2427 0.2427 0.2176
Te2 0.2427 0.7322 0.2176
Te3 0.2615 0.2615 0.7845
Te4 0.2678 0.7573 0.7824
Te5 0.7322 0.2427 0.2176
Te6 0.7385 0.7385 0.2155
Te7 0.7573 0.2678 0.7824
Te8 0.7573 0.7573 0.7824

**Crystal system**: monoclinic
**Formation energy without anion corrections**: -1053 meV/atom
**V**: 36.70 Å³/atom



VASP calculation (PBE-GGA) on an optimized crystal structure of Sm2DyTmTe6.

Unit cell a=8.3488 b=8.3488 c=8.3488 alpha=55.38 beta=55.38 gamma=55.38
Positions (direct):
Sm1 0.0000 0.0000 0.0000
Sm2 0.4997 0.4997 0.4997
Dy1 0.1878 0.1878 0.1878
Tm1 0.6874 0.6874 0.6874
Te1 0.0815 0.4170 0.7907
Te2 0.2933 0.9137 0.5846
Te3 0.4170 0.7907 0.0815
Te4 0.5846 0.2933 0.9137
Te5 0.7907 0.0815 0.4170
Te6 0.9137 0.5846 0.2933

**Crystal system**: trigonal
**Formation energy without anion corrections**: -1360 meV/atom
**V**: 36.73 Å³/atom



VASP calculation (PBE-GGA) on an optimized crystal structure of SmDy3Tm2Te6.

Unit cell a=9.7088 b=9.7088 c=8.7612 alpha=102.21 beta=102.21 gamma=25.71
Positions (direct):
Sm1 0.0000 0.0000 0.0000
Dy1 0.0000 0.0000 0.5000
Dy2 0.3396 0.3396 0.1659
Dy3 0.6604 0.6604 0.8341
Tm1 0.3361 0.3361 0.6696
Tm2 0.6639 0.6639 0.3304
Te1 0.1691 0.1691 0.5821
Te2 0.1714 0.1714 0.0899
Te3 0.4971 0.4971 0.7432
Te4 0.5029 0.5029 0.2568
Te5 0.8286 0.8286 0.9101
Te6 0.8309 0.8309 0.4179

**Crystal system**: monoclinic
**Formation energy without anion corrections**: -1260 meV/atom
**V**: 29.15 Å³/atom



VASP calculation (PBE-GGA) on an optimized crystal structure of Sm2DyTmTe5.

Unit cell a=5.4876 b=5.4876 c=11.5194 alpha=90.00 beta=90.00 gamma=90.00
Positions (direct):
Sm1 0.0000 0.0000 0.1591
Sm2 0.0000 0.0000 0.8409
Dy1 0.5000 0.5000 0.5000
Tm1 0.5000 0.5000 0.0000
Te1 0.0000 0.0000 0.5000
Te2 0.0000 0.5000 0.0000
Te3 0.5000 0.0000 0.0000
Te4 0.5000 0.5000 0.2533
Te5 0.5000 0.5000 0.7467

**Crystal system**: tetragonal
**Formation energy without anion corrections**: -763 meV/atom
**V**: 38.54 Å³/atom



VASP calculation (PBE-GGA) on an optimized crystal structure of Sm2Dy3TmTe6.

Unit cell a=9.7809 b=9.7809 c=8.8016 alpha=102.35 beta=102.35 gamma=25.66
Positions (direct):
Sm1 0.1713 0.1713 0.3368
Sm2 0.8287 0.8287 0.6632
Dy1 0.1735 0.1735 0.8345
Dy2 0.5000 0.5000 0.5000
Dy3 0.8265 0.8265 0.1655
Tm1 0.5000 0.5000 0.0000
Te1 0.0026 0.0026 0.7550
Te2 0.3375 0.3375 0.4136
Te3 0.3379 0.3379 0.9246
Te4 0.6621 0.6621 0.0754
Te5 0.6625 0.6625 0.5864
Te6 0.9974 0.9974 0.2450

**Crystal system**: monoclinic
**Formation energy without anion corrections**: -1297 meV/atom
**V**: 29.64 Å³/atom



VASP calculation (PBE-GGA) on an optimized crystal structure of Sm2DyTm3Te6.

Unit cell a=9.8015 b=9.8015 c=8.8056 alpha=104.43 beta=104.43 gamma=25.44
Positions (direct):
Sm1 0.1690 0.1690 0.3375
Sm2 0.8310 0.8310 0.6625
Dy1 0.5000 0.5000 0.0000
Tm1 0.1698 0.1698 0.8350
Tm2 0.5000 0.5000 0.5000
Tm3 0.8302 0.8302 0.1650
Te1 0.0032 0.0032 0.7485
Te2 0.3338 0.3338 0.9243
Te3 0.3373 0.3373 0.4088
Te4 0.6627 0.6627 0.5912
Te5 0.6662 0.6662 0.0757
Te6 0.9968 0.9968 0.2515

**Crystal system**: monoclinic
**Formation energy without anion corrections**: -1262 meV/atom
**V**: 29.28 Å³/atom



VASP calculation (PBE-GGA) on an optimized crystal structure of SmDyTm2Te6.

Unit cell a=8.2914 b=8.2914 c=8.2914 alpha=55.28 beta=55.28 gamma=55.28
Positions (direct):
Sm1 0.0000 0.0000 0.0000
Dy1 0.4984 0.4984 0.4984
Tm1 0.3122 0.3122 0.3122
Tm2 0.8134 0.8134 0.8134
Te1 0.0860 0.7072 0.4186
Te2 0.2147 0.5833 0.9112
Te3 0.4186 0.0860 0.7072
Te4 0.5833 0.9112 0.2147
Te5 0.7072 0.4186 0.0860
Te6 0.9112 0.2147 0.5833

**Crystal system**: trigonal
**Formation energy without anion corrections**: -1348 meV/atom
**V**: 35.89 Å³/atom



VASP calculation (PBE-GGA) on an optimized crystal structure of SmDyY2Te6.

Unit cell a=8.3524 b=8.3524 c=8.3524 alpha=55.19 beta=55.19 gamma=55.19
Positions (direct):
Sm1 0.0000 0.0000 0.0000
Dy1 0.4987 0.4987 0.4987
Y1 0.3122 0.3122 0.3122
Y2 0.8132 0.8132 0.8132
Te1 0.0914 0.7123 0.4129
Te2 0.2191 0.5882 0.9062
Te3 0.4129 0.0914 0.7123
Te4 0.5882 0.9062 0.2191
Te5 0.7123 0.4129 0.0914
Te6 0.9062 0.2191 0.5882

**Crystal system**: trigonal
**Formation energy without anion corrections**: -1377 meV/atom
**V**: 36.60 Å³/atom



VASP calculation (PBE-GGA) on an optimized crystal structure of SmDy3Y2Te6.

Unit cell a=9.7778 b=9.7778 c=8.7887 alpha=103.00 beta=103.00 gamma=25.73
Positions (direct):
Sm1 0.0000 0.0000 0.0000
Dy1 0.0000 0.0000 0.5000
Dy2 0.3361 0.3361 0.1670
Dy3 0.6639 0.6639 0.8330
Y1 0.3353 0.3353 0.6701
Y2 0.6647 0.6647 0.3299
Te1 0.1674 0.1674 0.5836
Te2 0.1698 0.1698 0.0837
Te3 0.5002 0.5002 0.2556
Te4 0.4998 0.4998 0.7444
Te5 0.8302 0.8302 0.9163
Te6 0.8326 0.8326 0.4164

**Crystal system**: monoclinic
**Formation energy without anion corrections**: -1307 meV/atom
**V**: 29.58 Å³/atom



VASP calculation (PBE-GGA) on an optimized crystal structure of Sm2Dy3YTe6.

Unit cell a=9.8111 b=9.8111 c=8.8223 alpha=103.09 beta=103.09 gamma=25.69
Positions (direct):
Sm1 0.1686 0.1686 0.3356
Sm2 0.8314 0.8314 0.6644
Dy1 0.1696 0.1696 0.8334
Dy2 0.5000 0.5000 0.5000
Dy3 0.8304 0.8304 0.1666
Y1 0.5000 0.5000 0.0000
Te1 0.0022 0.0022 0.7507
Te2 0.3346 0.3346 0.9226
Te3 0.3360 0.3360 0.4127
Te4 0.6640 0.6640 0.5873
Te5 0.6654 0.6654 0.0774
Te6 0.9978 0.9978 0.2493

**Crystal system**: monoclinic
**Formation energy without anion corrections**: -1320 meV/atom
**V**: 29.84 Å³/atom



VASP calculation (PBE-GGA) on an optimized crystal structure of Sm2DyYTe6.

Unit cell a=8.3822 b=8.3822 c=8.3822 alpha=55.32 beta=55.32 gamma=55.32
Positions (direct):
Sm1 0.0000 0.0000 0.0000
Sm2 0.4997 0.4997 0.4997
Dy1 0.6876 0.6876 0.6876
Y1 0.1878 0.1878 0.1878
Te1 0.0852 0.4134 0.7897
Te2 0.2896 0.9124 0.5862
Te3 0.4134 0.7897 0.0852
Te4 0.5862 0.2896 0.9124
Te5 0.7897 0.0852 0.4134
Te6 0.9124 0.5862 0.2896

**Crystal system**: trigonal
**Formation energy without anion corrections**: -1375 meV/atom
**V**: 37.12 Å³/atom



VASP calculation (PBE-GGA) on an optimized crystal structure of Sm3DyY3Te8.

Unit cell a=8.7803 b=8.7803 c=8.7803 alpha=59.89 beta=59.89 gamma=59.89
Positions (direct):
Sm1 0.0000 0.5000 0.5000
Sm2 0.5000 0.0000 0.5000
Sm3 0.5000 0.5000 0.0000
Dy1 0.5000 0.5000 0.5000
Y1 0.0000 0.0000 0.5000
Y2 0.0000 0.5000 0.0000
Y3 0.5000 0.0000 0.0000
Te1 0.2423 0.7534 0.7534
Te2 0.2466 0.2466 0.7577
Te3 0.2466 0.7577 0.2466
Te4 0.2479 0.2479 0.2479
Te5 0.7521 0.7521 0.7521
Te6 0.7534 0.2423 0.7534
Te7 0.7534 0.7534 0.2423
Te8 0.7577 0.2466 0.2466

**Crystal system**: trigonal
**Formation energy without anion corrections**: -1406 meV/atom
**V**: 31.83 Å³/atom



VASP calculation (PBE-GGA) on an optimized crystal structure of SmDy2YTe6.

Unit cell a=8.3499 b=8.3499 c=8.3499 alpha=55.21 beta=55.21 gamma=55.21
Positions (direct):
Sm1 0.0000 0.0000 0.0000
Dy1 0.1869 0.1869 0.1869
Dy2 0.6880 0.6880 0.6880
Y1 0.5015 0.5015 0.5015
Te1 0.0929 0.4124 0.7822
Te2 0.2889 0.9099 0.5862
Te3 0.4124 0.7822 0.0929
Te4 0.5862 0.2889 0.9099
Te5 0.7822 0.0929 0.4124
Te6 0.9099 0.5862 0.2889

**Crystal system**: trigonal
**Formation energy without anion corrections**: -1371 meV/atom
**V**: 36.58 Å³/atom



VASP calculation (PBE-GGA) on an optimized crystal structure of Sm4Dy3YTe8.

Unit cell a=8.8432 b=8.8432 c=8.8432 alpha=59.41 beta=59.41 gamma=59.41
Positions (direct):
Sm1 0.0000 0.0000 0.0000
Sm2 0.0000 0.5000 0.5000
Sm3 0.5000 0.0000 0.5000
Sm4 0.5000 0.5000 0.0000
Dy1 0.0000 0.0000 0.5000
Dy2 0.0000 0.5000 0.0000
Dy3 0.5000 0.0000 0.0000
Y1 0.5000 0.5000 0.5000
Te1 0.2473 0.2473 0.2473
Te2 0.2470 0.7477 0.7477
Te3 0.2523 0.2523 0.7530
Te4 0.2523 0.7530 0.2523
Te5 0.7477 0.2470 0.7477
Te6 0.7477 0.7477 0.2470
Te7 0.7530 0.2523 0.2523
Te8 0.7527 0.7527 0.7527

**Crystal system**: trigonal
**Formation energy without anion corrections**: -1333 meV/atom
**V**: 30.15 Å³/atom